No. 1
ErLuTlSn | PBE-GGA | relaxed

The density of states at the Fermi level is 4.2 states/eV/cell. The calculation puts the formation energy at -0.39 eV per atom. As for the space group: F-43m, No. 216.

POSCAR file:
```
ErLuTlSn
1.0
-4.535 2.295 1.506
-4.639 -1.944 -1.675
-3.221 -2.477 3.405
Er Tl Sn Lu
1 1 1 1
Cartesian
0.000 0.000 0.000
-9.296 -1.594 2.428
-3.099 -0.531 0.809
-6.197 -1.063 1.618
```



No. 2
Pm2Cd2Ir | PBE-GGA | relaxed

The density of states at the Fermi level is 2.5 states/eV/cell. The calculation puts the formation energy at -0.25 eV per atom. As for the space group: Immm, No. 71.

POSCAR file:
```
Pm2Cd2Ir
1.0
4.932 0.000 1.876
-0.756 4.543 1.989
0.570 0.273 5.922
Pm Cd Ir
2 2 1
Cartesian
1.160 3.818 4.372
3.586 0.997 5.414
0.858 2.271 1.465
3.317 2.271 2.400
0.000 0.000 0.000
```



No. 3
Ag6SeS2 | PBE-GGA | relaxed

The density of states at the Fermi level is 0.7 states/eV/cell. The uncorrected formation energy comes out at 0.008 eV per atom. The polymorph energy (0 for the lowest one) is 0 meV/atom. As for the space group: C2/m, No. 12.

POSCAR file:
```
Ag6SeS2
1.0
4.353 0.000 0.000
2.177 6.680 0.000
2.177 2.767 7.483
Ag S Se
6 2 1
Cartesian
2.177 5.374 1.250
4.353 5.910 4.922
2.177 2.461 0.577
6.530 4.073 6.233
6.530 6.985 6.906
4.353 3.536 2.561
4.353 1.397 1.230
4.353 8.049 6.253
2.177 4.723 3.742
```



No. 4
TmUAs2 | PBE-GGA | relaxed

The density of states at the Fermi level is 3.5 states/eV/cell. The calculation puts the formation energy at -1.12 eV per atom. The polymorph energy (0 for the lowest one) is 0 meV/atom. As for the space group: R-3m, No. 166.

POSCAR file:
```
TmUAs2
1.0
4.043 0.000 0.000
2.022 3.501 0.000
2.022 1.167 6.743
Tm As U
1 2 1
Cartesian
4.043 2.334 3.371
6.065 3.501 5.039
2.022 1.167 1.703
0.000 0.000 0.000
```



No. 5
LaTb5Rh6 | PBE-GGA | relaxed

The density of states at the Fermi level is 7.9 states/eV/cell. The calculation puts the formation energy at -0.80 eV per atom. As for the space group: Immm, No. 71.

POSCAR file:
```
LaTb5Rh6
1.0
4.662 0.020 -1.361
-0.971 6.216 -3.237
-0.068 0.358 8.441
Tb Rh La
5 6 1
Cartesian
2.437 4.275 -0.255
-0.485 3.108 -1.619
1.186 2.320 4.099
2.934 1.188 1.402
0.690 5.406 2.442
0.354 2.748 1.252
2.081 1.607 -1.512
1.610 4.629 -3.086
3.270 3.847 2.592
3.748 0.780 4.188
-0.125 5.814 -0.345
0.000 0.000 0.000
```



No. 6
La2NpN4 | PBE-GGA | relaxed

The density of states at the Fermi level is 7.9 states/eV/cell. The uncorrected formation energy comes out at -1.082 eV per atom. The polymorph energy (0 for the lowest one) is 255 meV/atom. As for the space group: P2/m, No. 10.

POSCAR file:
```
La2NpN4
1.0
3.658 0.000 0.000
0.000 5.764 -0.115
0.000 -2.761 5.570
N Np La
4 1 2
Cartesian
0.000 3.781 0.317
1.829 3.196 4.397
0.000 2.412 0.347
1.829 0.236 1.837
0.000 0.214 0.390
1.829 3.137 2.026
1.829 0.294 4.209
```



No. 7
Pm5Ho2Mg | PBE-GGA | relaxed

The density of states at the Fermi level is 9.7 states/eV/cell. The calculation puts the formation energy at 0.00 eV per atom. The polymorph energy (0 for the lowest one) is 0 meV/atom. As for the space group: Fmm2, No. 42.

POSCAR file:
```
Pm5Ho2Mg
1.0
-4.820 0.838 -5.331
4.216 -5.879 0.173
-3.625 -0.203 5.702
Pm Mg Ho
5 1 2
Cartesian
-1.608 -1.784 1.648
-1.904 -4.301 -0.935
-0.606 -1.074 -1.698
-2.047 -4.329 4.086
-6.556 -0.867 1.437
-0.860 -3.633 -4.249
0.583 -4.696 1.699
-4.053 -1.418 -0.959
```



No. 8
Ba2NaSbO4 | PBE-GGA | relaxed

The uncorrected formation energy comes out at -1.821 eV per atom. As for the space group: I-4, No. 82.

POSCAR file:
```
Ba2NaSbO4
1.0
-1.246 -0.353 -5.914
5.324 -2.213 1.847
-3.306 -3.430 3.737
O Sb Ba Na
4 1 2 1
Cartesian
-1.134 -2.548 2.503
1.247 -4.841 2.005
1.457 -2.189 -4.079
-0.024 -2.414 -1.090
1.009 -2.822 2.792
2.544 -2.694 -0.638
0.000 0.000 0.000
-1.771 -3.302 0.307
```



No. 9
Mg2Zn2Pb | PBE-GGA | relaxed

The density of states at the Fermi level is 3.3 states/eV/cell. The calculation puts the formation energy at 0.04 eV per atom. The polymorph energy (0 for the lowest one) is 67 meV/atom. As for the space group: P4/mbm, No. 127.

POSCAR file:
```
Mg2Zn2Pb
1.0
8.279 0.000 0.000
0.000 8.279 0.000
0.000 0.000 3.152
Zn Pb Mg
4 2 4
Cartesian
5.486 6.932 1.576
1.346 5.486 1.576
6.932 2.793 1.576
2.793 1.346 1.576
0.000 0.000 0.000
4.139 4.139 0.000
7.175 5.243 0.000
3.035 7.175 0.000
1.104 3.035 0.000
5.243 1.104 0.000
```



No. 10
MnSi2Mo | PBE-GGA | relaxed

The density of states at the Fermi level is 2.5 states/eV/cell. The uncorrected formation energy comes out at -0.115 eV per atom. As for the space group: Cmmm, No. 65.

POSCAR file:
```
MnSi2Mo
1.0
-2.585 0.753 -0.532
-0.129 -2.674 0.605
-0.972 1.638 7.038
Si Mn Mo
2 1 1
Cartesian
-0.469 0.790 3.393
-0.017 0.029 0.125
-1.600 -0.551 1.796
-2.086 0.268 5.315
```



No. 11
EuYAg4 | PBE-GGA | relaxed

The density of states at the Fermi level is 7.1 states/eV/cell. The calculation puts the formation energy at -0.17 eV per atom. As for the space group: F-43m, No. 216.

POSCAR file:
```
EuYAg4
1.0
-4.758 -0.122 -3.276
-0.922 -4.431 -3.592
-4.190 -3.814 1.132
Ag Eu Y
4 1 1
Cartesian
-6.171 -5.231 -3.586
-5.709 -3.011 -1.787
-3.788 -5.170 -1.945
-4.072 -3.321 -4.153
-2.468 -2.092 -1.434
0.000 0.000 0.000
```



No. 12
CSe2 | PBE-GGA | relaxed

The density of states at the Fermi level is 3.2 states/eV/cell. The uncorrected formation energy comes out at 0.871 eV per atom. The polymorph energy (0 for the lowest one) is 310 meV/atom. As for the space group: Cm, No. 8.

POSCAR file:
```
CSe2
1.0
1.451 8.759 0.651
-1.451 8.759 0.651
0.000 4.364 6.250
Se C
4 2
Cartesian
0.000 19.987 5.739
0.000 2.904 0.327
0.000 7.845 1.647
0.000 14.109 4.905
0.000 6.382 4.899
0.000 12.225 5.961
```



No. 13
Pa2SiIr | PBE-GGA | relaxed

The density of states at the Fermi level is 6.8 states/eV/cell. The uncorrected formation energy comes out at -0.407 eV per atom. The polymorph energy (0 for the lowest one) is 297 meV/atom. As for the space group: R-3m, No. 166.

POSCAR file:
```
Pa2SiIr
1.0
4.536 0.000 0.000
2.268 3.929 0.000
2.268 1.310 4.877
Pa Ir Si
2 1 1
Cartesian
2.268 1.310 1.257
6.805 3.929 3.620
4.536 2.619 2.439
0.000 0.000 0.000
```



No. 14
BaSrNb2 | PBE-GGA | relaxed

The density of states at the Fermi level is 5.2 states/eV/cell. The calculation puts the formation energy at 1.49 eV per atom. The polymorph energy (0 for the lowest one) is 0 meV/atom. As for the space group: Fm-3m, No. 225.

POSCAR file:
```
BaSrNb2
1.0
-5.193 0.999 1.139
-2.790 3.547 -2.984
-3.885 -1.739 -3.339
Sr Nb Ba
1 2 1
Cartesian
0.000 0.000 0.000
-8.901 2.105 -3.888
-2.967 0.702 -1.296
-5.934 1.403 -2.592
```



No. 15
KIn2GaRh | PBE-GGA | relaxed

The density of states at the Fermi level is 3.4 states/eV/cell. The calculation puts the formation energy at -0.24 eV per atom. As for the space group: P4/mmm, No. 123.

POSCAR file:
```
KIn2GaRh
1.0
-4.637 -1.124 2.128
2.382 -1.477 4.409
-0.326 4.592 1.714
In K Rh Ga
2 1 1 1
Cartesian
1.191 -0.739 2.205
-2.319 -0.562 1.064
-1.291 0.995 4.126
0.000 0.000 0.000
-0.163 2.296 0.857
```



No. 16
LaScNi2H6 | PBE-GGA | relaxed

The density of states at the Fermi level is 4.7 states/eV/cell. As for the space group: R-3m, No. 166.

POSCAR file:
```
LaScNi2H6
1.0
4.507 0.000 0.000
2.253 3.903 0.000
2.253 1.301 5.540
H Ni La Sc
6 2 1 1
Cartesian
4.507 3.877 1.144
4.507 1.327 4.396
3.402 1.964 1.144
3.402 3.240 4.396
5.611 3.240 4.396
5.611 1.964 1.144
6.760 3.903 3.512
2.253 1.301 2.028
0.000 0.000 0.000
4.507 2.602 2.770
```



No. 17
ZrSbHRu2 | PBE-GGA | relaxed

The density of states at the Fermi level is 2.6 states/eV/cell. As for the space group: P4/mmm, No. 123.

POSCAR file:
```
ZrSbHRu2
1.0
4.227 0.000 0.000
0.000 4.227 0.000
0.000 0.000 3.995
H Ru Sb Zr
1 2 1 1
Cartesian
0.000 0.000 0.000
0.000 2.114 0.000
2.114 0.000 0.000
2.114 2.114 1.997
0.000 0.000 1.997
```



No. 18
K2LiCo | PBE-GGA | relaxed

The density of states at the Fermi level is 2.2 states/eV/cell. The calculation puts the formation energy at 0.80 eV per atom. The polymorph energy (0 for the lowest one) is 165 meV/atom. As for the space group: P2/m, No. 10.

POSCAR file:
```
K2LiCo
1.0
4.149 0.000 0.000
0.000 3.914 0.059
0.000 3.738 9.352
Li K Co
1 2 1
Cartesian
2.074 1.913 2.353
0.000 3.750 9.030
0.000 3.813 5.028
2.074 5.739 7.058
```



No. 19
La2NiP3Rh12 | PBE-GGA | relaxed

The density of states at the Fermi level is 15.6 states/eV/cell. The calculation puts the formation energy at -0.21 eV per atom. As for the space group: R-3m, No. 166.

POSCAR file:
```
La2NiP3Rh12
1.0
-3.231 -6.154 1.239
-0.576 -3.240 -6.246
5.028 -4.955 -0.145
Rh P La Ni
12 3 2 1
Cartesian
0.069 -6.646 -5.349
-2.114 -6.704 -3.360
2.699 -6.005 -4.166
1.152 -7.703 0.196
-1.438 -5.143 -0.124
2.688 -4.544 -0.816
2.659 -9.205 -5.028
-0.112 -3.688 -3.863
1.332 -10.661 -1.289
-1.467 -9.805 -4.337
3.335 -7.645 -1.793
-1.478 -8.344 -0.987
-1.616 -3.077 0.619
2.514 -2.477 -0.072
-0.288 -1.620 -3.123
0.746 -8.765 -3.148
0.475 -5.584 -2.005
0.000 0.000 0.000
```



No. 20
LaTlSnHg | PBE-GGA | relaxed

The density of states at the Fermi level is 2.1 states/eV/cell. The calculation puts the formation energy at -0.47 eV per atom. The polymorph energy (0 for the lowest one) is 0 meV/atom. As for the space group: Pmmm, No. 47.

POSCAR file:
```
LaTlSnHg
1.0
4.746 0.000 0.000
0.000 4.729 0.000
0.000 0.000 4.968
Hg Sn Tl La
1 1 1 1
Cartesian
2.373 2.365 0.000
2.373 0.000 2.484
0.000 0.000 0.000
0.000 2.365 2.484
```



Calculated energy (eV/atom), listed in the same order as above: -4.25; -4.29; -3.20; -7.38; -6.82; -9.10; -4.31; -5.46; -1.85; -7.83; -4.86; -4.53; -8.73; -4.44; -3.63; -4.74; -7.16; -2.01; -6.88; -3.37